#a
DFT (PBE-GGA) results for a relaxed structure of La2Pr.

The calculation puts the total magnetization at 0.01 μB/f.u.

Cell: 7.9073 7.9073 7.9073 Å, 90.00 90.00 90.00°
With the nearest neighbours (Å) after each atom.
Space group Fm-3m (No. 225)
One atom of each set of equivalent atoms:
La  0.2500  0.2500  0.2500 x8  4 Pr 3.42
Pr  0.0000  0.0000  0.0000 x4  8 La 3.42

***

#b
DFT (PBE-GGA) results for a relaxed structure of La2Pr.

The calculation puts the total magnetization at 0.22 μB/f.u.

Cell: 9.6029 9.6029 9.6029 Å, 90.00 90.00 90.00°
With the nearest neighbours (Å) after each atom.
Space group Fd-3m (No. 227, origin choice 2)
One atom of each set of equivalent atoms:
La  0.0000  0.0000  0.0000 x16  6 La 3.40
Pr  0.1250  0.1250  0.6250 x8  12 La 3.98, 4 Pr 4.16

***

#c
DFT (PBE-GGA) results for a relaxed structure of La2Pr.

The calculation puts the total magnetization at 0.03 μB/f.u.

Cell: 13.0270 13.0270 13.0270 Å, 90.00 90.00 90.00°
With the nearest neighbours (Å) after each atom.
Space group Fd-3m (No. 227, origin choice 2)
One atom of each set of equivalent atoms:
La  0.0000  0.0000  0.0000 x16  2 Pr 2.82
Pr  0.1250  0.1250  0.1250 x8  4 La 2.82

***

Need the numbers? Relative energies in meV/atom: #a 435; #b 0; #c 1515.

***

#a
DFT (PBE-GGA) results for a relaxed structure of LaPrPt4.

The calculation puts the total magnetization at 0.01 μB/f.u.

Cell: 5.6110 5.6110 9.4361 Å, 90.00 90.00 120.00°
With the nearest neighbours (Å) after each atom.
Space group P6/mmm (No. 191)
One atom of each set of equivalent atoms:
La  0.0000  0.0000  0.0000 x1  6 Pr 3.24
La  0.0000  0.0000  0.5000 x1  18 Pt 3.24-3.58
Pr  0.3333  0.6667  0.0000 x2  6 Pt 2.98, 3 La 3.24, 3 Pr 3.24
Pt  0.0000  0.5000  0.2651 x6  6 Pt 2.75-2.81, 2 Pr 2.98
Pt  0.3333  0.6667  0.5000 x2  6 Pt 2.75

***

#b
DFT (PBE-GGA) results for a relaxed structure of LaPrPt4.

The calculation puts the total magnetization at 0.00 μB/f.u.

Cell: 7.8281 7.8281 7.8281 Å, 90.00 90.00 90.00°
With the nearest neighbours (Å) after each atom.
Space group F-43m (No. 216)
One atom of each set of equivalent atoms:
La  0.0000  0.0000  0.0000 x4  12 Pt 3.25, 4 Pr 3.39
Pr  0.2500  0.2500  0.2500 x4  12 Pt 3.25, 4 La 3.39
Pt  0.1250  0.1250  0.6250 x16  6 Pt 2.77

***

Need the numbers? Relative energies in meV/atom: #a 535; #b 0.

***

#a
DFT (PBE-GGA) results for a relaxed structure of LaPuPt.

The calculation puts the total magnetization at 6.07 μB/f.u.

Cell: 6.7785 6.7785 6.7785 Å, 90.00 90.00 90.00°
With the nearest neighbours (Å) after each atom.
Space group F-43m (No. 216)
One atom of each set of equivalent atoms:
La  0.0000  0.0000  0.0000 x4  4 Pt 2.94, 4 Pu 2.94
Pu  0.2500  0.2500  0.2500 x4  4 La 2.94
Pt  0.2500  0.2500  0.7500 x4  4 La 2.94

***

#b
DFT (PBE-GGA) results for a relaxed structure of LaPuPt.

The calculation puts the total magnetization at 6.45 μB/f.u.

Cell: 7.0592 7.0592 7.0592 Å, 90.00 90.00 90.00°
With the nearest neighbours (Å) after each atom.
Space group F-43m (No. 216)
One atom of each set of equivalent atoms:
La  0.0000  0.0000  0.0000 x4  4 Pt 3.06
Pu  0.0000  0.0000  0.5000 x4  4 Pt 3.06
Pt  0.2500  0.2500  0.2500 x4  4 La 3.06, 4 Pu 3.06

***

Need the numbers? Relative energies in meV/atom: #a 433; #b 0.

***

#a
DFT (PBE-GGA) results for a relaxed structure of SrLaPt.

The calculation puts the total magnetization at 0.00 μB/f.u.

Cell: 7.2562 7.2562 7.2562 Å, 90.00 90.00 90.00°
With the nearest neighbours (Å) after each atom.
Space group F-43m (No. 216)
One atom of each set of equivalent atoms:
Sr  0.0000  0.0000  0.0000 x4  4 Pt 3.14
La  0.0000  0.0000  0.5000 x4  4 Pt 3.14
Pt  0.2500  0.2500  0.7500 x4  4 La 3.14, 4 Sr 3.14

***

#b
DFT (PBE-GGA) results for a relaxed structure of SrLaPt.

The calculation puts the total magnetization at 0.02 μB/f.u.

Cell: 4.4439 5.8148 8.5718 Å, 90.00 90.00 90.00°
With the nearest neighbours (Å) after each atom.
Space group Pmmn (No. 59, origin choice 2)
One atom of each set of equivalent atoms:
Sr  0.2500  0.2500  0.1261 x2  2 Pt 3.04
La  0.2500  0.2500  0.5945 x2  4 Pt 2.93-2.95
Pt  0.2500  0.7500  0.6324 x2  4 La 2.93-2.95, 2 Sr 3.04

***

Need the numbers? Relative energies in meV/atom: #a 140; #b 0.

***

#a
DFT (PBE-GGA) results for a relaxed structure of LaPuSn.

The calculation puts the total magnetization at 6.85 μB/f.u.

Cell: 7.2577 7.2577 7.2577 Å, 90.00 90.00 90.00°
With the nearest neighbours (Å) after each atom.
Space group F-43m (No. 216)
One atom of each set of equivalent atoms:
La  0.0000  0.0000  0.0000 x4  4 Pu 3.14
Pu  0.2500  0.2500  0.2500 x4  4 La 3.14, 4 Sn 3.14
Sn  0.0000  0.0000  0.5000 x4  4 Pu 3.14

***

#b
DFT (PBE-GGA) results for a relaxed structure of LaPuSn.

The calculation puts the total magnetization at 6.92 μB/f.u.

Cell: 7.3825 7.3825 7.3825 Å, 90.00 90.00 90.00°
With the nearest neighbours (Å) after each atom.
Space group F-43m (No. 216)
One atom of each set of equivalent atoms:
La  0.0000  0.0000  0.0000 x4  4 Sn 3.20, 4 Pu 3.20
Pu  0.2500  0.2500  0.7500 x4  4 La 3.20
Sn  0.2500  0.2500  0.2500 x4  4 La 3.20

***

Need the numbers? Relative energies in meV/atom: #a 0; #b 124.

***

#a
DFT (PBE-GGA) results for a relaxed structure of LaPuZn.

The calculation puts the total magnetization at 5.86 μB/f.u.

Cell: 6.9205 6.9205 6.9205 Å, 90.00 90.00 90.00°
With the nearest neighbours (Å) after each atom.
Space group F-43m (No. 216)
One atom of each set of equivalent atoms:
La  0.0000  0.0000  0.0000 x4  4 Pu 3.00, 4 Zn 3.00
Pu  0.2500  0.2500  0.7500 x4  4 La 3.00
Zn  0.2500  0.2500  0.2500 x4  4 La 3.00

***

#b
DFT (PBE-GGA) results for a relaxed structure of LaPuZn.

The calculation puts the total magnetization at 5.92 μB/f.u.

Cell: 6.9508 6.9508 6.9508 Å, 90.00 90.00 90.00°
With the nearest neighbours (Å) after each atom.
Space group F-43m (No. 216)
One atom of each set of equivalent atoms:
La  0.0000  0.0000  0.0000 x4  4 Pu 3.01
Pu  0.2500  0.2500  0.2500 x4  4 La 3.01, 4 Zn 3.01
Zn  0.0000  0.0000  0.5000 x4  4 Pu 3.01

***

Need the numbers? Relative energies in meV/atom: #a 105; #b 0.